(1)
This record from Alexandria via LeMat-Bulk describes an optimized crystal structure of SmScBi. The functional is PBE-GGA.

## Properties
- ΔH_f (0 K) (eV per atom) = -0.310
- theoretical density (g cm⁻³) = 7.57
- volume (Å³/atom) = 29.55
- total magnetization (μB per formula unit) = 0.5

Unit cell a=3.454 b=5.880 c=17.462 alpha=90.00 beta=90.00 gamma=90.00
Space group Immm (No. 71)
Asymmetric unit:
Sm  0.000  0.000  0.162 [4 per cell]
Sc  0.000  0.260  0.500 [4 per cell]
Bi  0.000  0.000  0.347 [4 per cell]

---

(2)
This record from Alexandria via LeMat-Bulk describes an optimized crystal structure of Sm4ScBi5. The functional is PBE-GGA.

## Properties
- ΔH_f (0 K) (eV per atom) = -0.852
- theoretical density (g cm⁻³) = 8.67
- volume (Å³/atom) = 32.41
- total magnetization (μB per formula unit) = 0.0
- energy above the most stable polymorph in this dataset (eV per atom) = 0.0022

Unit cell a=4.516 b=4.516 c=31.779 alpha=90.00 beta=90.00 gamma=90.00
Space group I4/mmm (No. 139)
Asymmetric unit:
Sm  0.000  0.000  0.099 [4 per cell]
Sm  0.000  0.000  0.302 [4 per cell]
Sc  0.000  0.000  0.500 [2 per cell]
Bi  0.000  0.000  0.000 [2 per cell]
Bi  0.000  0.000  0.200 [4 per cell]
Bi  0.000  0.000  0.404 [4 per cell]

---

(3)
This record from Alexandria via LeMat-Bulk describes an optimized crystal structure of Sm4ScBi5. The functional is PBE-GGA.

## Properties
- ΔH_f (0 K) (eV per atom) = -0.854
- theoretical density (g cm⁻³) = 8.68
- volume (Å³/atom) = 32.37
- total magnetization (μB per formula unit) = 0.0
- energy above the most stable polymorph in this dataset (eV per atom) = 0.0000

Unit cell a=10.065 b=10.065 c=6.390 alpha=90.00 beta=90.00 gamma=90.00
Space group I4 (No. 79)
Asymmetric unit:
Sm  0.095  0.301  0.000 [8 per cell]
Sc  0.000  0.000  0.499 [2 per cell]
Bi  0.000  0.000  0.999 [2 per cell]
Bi  0.098  0.289  0.500 [8 per cell]

---

(4)
This record from Alexandria via LeMat-Bulk describes an optimized crystal structure of Sm3ScBi4. The functional is PBE-GGA.

## Properties
- ΔH_f (0 K) (eV per atom) = -0.841
- theoretical density (g cm⁻³) = 8.63
- volume (Å³/atom) = 32.05
- total magnetization (μB per formula unit) = 0.0

Unit cell a=8.979 b=12.705 c=4.495 alpha=90.00 beta=90.00 gamma=90.00
Space group Cmmm (No. 65)
Asymmetric unit:
Sm  0.000  0.000  0.000 [2 per cell]
Sm  0.250  0.250  0.500 [4 per cell]
Sc  0.000  0.500  0.000 [2 per cell]
Bi  0.000  0.257  0.000 [4 per cell]
Bi  0.237  0.500  0.500 [4 per cell]

---

(5)
This record from Alexandria via LeMat-Bulk describes an optimized crystal structure of SmSc5Bi6. The functional is PBE-GGA.

## Properties
- ΔH_f (0 K) (eV per atom) = -0.695
- theoretical density (g cm⁻³) = 7.92
- volume (Å³/atom) = 28.48
- total magnetization (μB per formula unit) = 0.0

Unit cell a=7.475 b=12.960 c=7.488 alpha=90.00 beta=109.59 gamma=90.00
Space group C2/m (No. 12)
Asymmetric unit:
Sm  0.000  0.000  0.000 [2 per cell]
Sc  0.000  0.160  0.500 [4 per cell]
Sc  0.000  0.331  0.000 [4 per cell]
Sc  0.000  0.500  0.500 [2 per cell]
Bi  0.238  0.500  0.252 [4 per cell]
Bi  0.241  0.327  0.741 [8 per cell]

---

(6)
This record from Alexandria via LeMat-Bulk describes an optimized crystal structure of Sm3ScBi4. The functional is PBE-GGA.

## Properties
- ΔH_f (0 K) (eV per atom) = -0.842
- theoretical density (g cm⁻³) = 8.62
- volume (Å³/atom) = 32.07
- total magnetization (μB per formula unit) = 0.0

Unit cell a=7.773 b=9.002 c=7.780 alpha=90.00 beta=109.49 gamma=90.00
Space group P2/c (No. 13)
Asymmetric unit:
Sm  0.000  0.124  0.250 [2 per cell]
Sm  0.000  0.374  0.750 [2 per cell]
Sm  0.500  0.374  0.250 [2 per cell]
Sc  0.500  0.125  0.750 [2 per cell]
Bi  0.256  0.368  0.507 [4 per cell]
Bi  0.264  0.118  0.000 [4 per cell]